[1]
Compound: Ba2InBr
Source: the Alexandria database
Functional: PBE
Structure: optimized geometry

- symmetry = No. 38
- E above lowest polymorph (meV per atom) = 64

Unit cell a=7.079 b=7.079 c=5.788 alpha=89.99 beta=89.99 gamma=33.92
Fractional coordinates of all 4 atoms:
Ba: 0.745 0.745 0.625
In: 0.260 0.260 0.125
Ba: 0.995 0.995 0.125
Br: 0.500 0.500 0.625

***

[2]
Compound: Ba4In2Br
Source: the Alexandria database
Functional: PBE
Structure: optimized geometry

- symmetry = No. 139

Unit cell a=6.358 b=6.358 c=9.536 alpha=109.47 beta=109.47 gamma=90.00
Fractional coordinates of all 7 atoms:
Ba: 0.000 0.500 0.000
Ba: 0.199 0.199 0.399
In: 0.599 0.599 0.197
In: 0.401 0.401 0.803
Ba: 0.801 0.801 0.601
Ba: 0.500 0.000 0.000
Br: 0.000 0.000 0.000

***

[3]
Compound: Ba2InBr
Source: the Alexandria database
Functional: PBE
Structure: optimized geometry

- symmetry = No. 160
- E above lowest polymorph (meV per atom) = 47

Unit cell a=4.583 b=4.583 c=9.812 alpha=76.49 beta=76.49 gamma=60.00
Fractional coordinates of all 4 atoms:
Ba: 0.251 0.251 0.247
Br: 0.499 0.499 0.503
Ba: 0.083 0.083 0.752
In: 0.667 0.667 0.999

***

[4]
Compound: Ba2InBr
Source: the Alexandria database
Functional: PBE
Structure: optimized geometry

- symmetry = No. 63
- E above lowest polymorph (meV per atom) = 0

Unit cell a=4.824 b=5.215 c=13.354 alpha=101.26 beta=90.00 gamma=90.00
Fractional coordinates of all 8 atoms:
Ba: 0.750 0.937 0.874
Ba: 0.750 0.676 0.351
Ba: 0.250 0.063 0.126
In: 0.250 0.462 0.924
Ba: 0.250 0.324 0.649
Br: 0.750 0.806 0.611
In: 0.750 0.538 0.076
Br: 0.250 0.194 0.389

***

[5]
Compound: Ba2InBr
Source: the Alexandria database
Functional: PBE
Structure: optimized geometry

- symmetry = No. 71
- E above lowest polymorph (meV per atom) = 205

Unit cell a=6.353 b=6.353 c=6.353 alpha=131.74 beta=115.56 gamma=84.42
Each line ends with the local moment (μB).
Fractional coordinates of all 4 atoms:
Ba: 0.523 0.523 0.000  0.03
In: 0.250 0.750 0.500  0.09
Ba: 0.977 0.977 0.000  0.03
Br: 0.750 0.250 0.500  0.01

***

[6]
Compound: BaInBr3
Source: the Alexandria database
Functional: PBE
Structure: optimized geometry

- symmetry = No. 221

Unit cell a=5.892 b=5.892 c=5.892 alpha=90.00 beta=90.00 gamma=90.00
Fractional coordinates of all 5 atoms:
Ba: 0.500 0.500 0.500
Br: 0.500 0.000 0.000
Br: 0.000 0.500 0.000
In: 0.000 0.000 0.000
Br: 0.000 0.000 0.500

***

[7]
Compound: BaInBr3
Source: the Alexandria database
Functional: PBE
Structure: optimized geometry

- symmetry = No. 62

Unit cell a=4.583 b=12.879 c=12.774 alpha=90.00 beta=90.00 gamma=90.00
Fractional coordinates of all 20 atoms:
Br: 0.250 0.943 0.370
Br: 0.750 0.383 0.449
Br: 0.750 0.057 0.630
Br: 0.750 0.808 0.786
Br: 0.250 0.883 0.051
Br: 0.750 0.117 0.949
Br: 0.750 0.692 0.286
In: 0.750 0.812 0.500
Ba: 0.750 0.491 0.691
Ba: 0.250 0.991 0.809
In: 0.250 0.312 0.000
Br: 0.250 0.557 0.870
In: 0.750 0.688 0.000
Ba: 0.250 0.509 0.309
Ba: 0.750 0.009 0.191
Br: 0.750 0.443 0.130
Br: 0.250 0.617 0.551
In: 0.250 0.188 0.500
Br: 0.250 0.192 0.214
Br: 0.250 0.308 0.714

***

[8]
Compound: Ba2InBr
Source: the Alexandria database
Functional: PBE
Structure: optimized geometry

- symmetry = No. 216
- E above lowest polymorph (meV per atom) = 632

Unit cell a=6.017 b=6.017 c=6.017 alpha=60.00 beta=60.00 gamma=60.00
Fractional coordinates of all 4 atoms:
In: 0.750 0.750 0.750
Ba: 0.000 0.000 0.000
Ba: 0.250 0.250 0.250
Br: 0.500 0.500 0.500

***

[9]
Compound: Ba2InBr
Source: the Alexandria database
Functional: PBE
Structure: optimized geometry

- symmetry = No. 25
- E above lowest polymorph (meV per atom) = 41

Unit cell a=6.438 b=4.107 c=6.440 alpha=89.99 beta=90.00 gamma=90.00
Fractional coordinates of all 4 atoms:
Ba: 0.500 0.244 0.375
Br: 0.000 0.260 0.375
Ba: 0.000 0.249 0.875
In: 0.500 0.747 0.875

***

[10]
Compound: BaInBr3
Source: the Alexandria database
Functional: PBE
Structure: optimized geometry

- symmetry = No. 221

Unit cell a=6.295 b=6.295 c=6.295 alpha=90.00 beta=90.00 gamma=90.00
Fractional coordinates of all 5 atoms:
Br: 0.500 0.000 0.000
Br: 0.000 0.500 0.000
In: 0.500 0.500 0.500
Br: 0.000 0.000 0.500
Ba: 0.000 0.000 0.000

***

[11]
Compound: BaIn2Br8
Source: the Alexandria database
Functional: PBE
Structure: optimized geometry

- symmetry = No. 15
- E above lowest polymorph (meV per atom) = 0

Unit cell a=11.043 b=11.116 c=11.837 alpha=57.85 beta=62.19 gamma=60.22
Fractional coordinates of all 22 atoms:
In: 0.365 0.353 0.444
Br: 0.633 0.773 0.011
Ba: 0.968 0.250 0.750
Br: 0.372 0.521 0.188
Br: 0.935 0.357 0.982
Br: 0.081 0.979 0.312
Br: 0.417 0.727 0.489
Br: 0.367 0.227 0.989
Br: 0.214 0.975 0.938
Ba: 0.032 0.750 0.250
Br: 0.274 0.143 0.518
Br: 0.065 0.643 0.018
Br: 0.127 0.525 0.562
Br: 0.583 0.273 0.511
In: 0.838 0.853 0.944
Br: 0.873 0.475 0.438
In: 0.162 0.147 0.056
In: 0.635 0.647 0.556
Br: 0.726 0.857 0.482
Br: 0.628 0.479 0.812
Br: 0.786 0.025 0.062
Br: 0.919 0.021 0.688

***

[12]
Compound: Ba2InBr6
Source: the Alexandria database
Functional: PBE
Structure: optimized geometry

- symmetry = No. 136

Unit cell a=7.322 b=7.322 c=14.490 alpha=90.00 beta=90.00 gamma=90.00
Fractional coordinates of all 18 atoms:
Br: 0.711 0.711 0.500
Br: 0.188 0.812 0.653
Ba: 0.500 0.500 0.333
Br: 0.211 0.789 0.000
Br: 0.812 0.188 0.653
Br: 0.688 0.688 0.847
Br: 0.688 0.688 0.153
In: 0.000 0.000 0.500
Ba: 0.000 0.000 0.833
Br: 0.289 0.289 0.500
Br: 0.812 0.188 0.347
Br: 0.789 0.211 0.000
Br: 0.312 0.312 0.153
Ba: 0.000 0.000 0.167
Br: 0.188 0.812 0.347
In: 0.500 0.500 0.000
Br: 0.312 0.312 0.847
Ba: 0.500 0.500 0.667

***

[13]
Compound: BaIn6Br8
Source: the Alexandria database
Functional: PBE
Structure: optimized geometry

- symmetry = No. 147

Unit cell a=4.789 b=11.395 c=11.395 alpha=120.00 beta=90.00 gamma=90.00
Fractional coordinates of all 15 atoms:
In: 0.740 0.892 0.539
In: 0.260 0.108 0.461
Ba: 0.500 0.000 0.000
Br: 0.756 0.761 0.711
In: 0.260 0.539 0.646
In: 0.260 0.354 0.892
Br: 0.756 0.951 0.239
Br: 0.756 0.289 0.049
In: 0.740 0.461 0.354
Br: 0.244 0.049 0.761
Br: 0.244 0.239 0.289
In: 0.740 0.646 0.108
Br: 0.244 0.711 0.951
Br: 0.250 0.667 0.333
Br: 0.750 0.333 0.667

***

Calculated E_form (uncorrected) in order - -3.71; -4.19; -3.78; -3.96; -3.14; -5.65; -7.80; -1.43; -3.80; -6.88; -13.05; -14.53; -13.74 eV per formula unit
Calculated final energy in order - -2.991; -2.719; -3.008; -3.055; -2.850; -3.065; -3.497; -2.423; -3.014; -3.312; -3.076; -3.462; -3.031 eV per atom